# W2SeCl8 PBE optimized geometry
data_W2SeCl8
_symmetry_space_group_name_H-M 'C 1 2/m 1'
_symmetry_Int_Tables_number 12
_symmetry_space_group_name_Hall '-C 2y'
_cell_length_a 8.152
_cell_length_b 11.695
_cell_length_c 7.923
_cell_angle_alpha 90.00
_cell_angle_beta 91.72
_cell_angle_gamma 90.00
loop_
_atom_site_label
_atom_site_type_symbol
_atom_site_fract_x
_atom_site_fract_y
_atom_site_fract_z
W1 W 0.106 0.000 0.226
Se1 Se 0.000 0.000 0.500
Cl1 Cl 0.094 0.196 0.198
Cl2 Cl 0.120 0.500 0.710
Cl3 Cl 0.175 0.000 0.914
# E_tot = -4.7355 eV per atom
# DOS(E_F) = 9.82 states/eV per cell

# W3SeCl7 PBE optimized geometry
data_W3SeCl7
_symmetry_space_group_name_H-M 'P 3 m 1'
_symmetry_Int_Tables_number 156
_symmetry_space_group_name_Hall 'P 3 -2"'
_cell_length_a 6.7038
_cell_length_b 6.7038
_cell_length_c 7.2935
_cell_angle_alpha 90.00
_cell_angle_beta 90.00
_cell_angle_gamma 120.00
loop_
_atom_site_label
_atom_site_type_symbol
_atom_site_fract_x
_atom_site_fract_y
_atom_site_fract_z
W1 W 0.0623 0.5311 0.0000
Se1 Se 0.3333 0.6667 0.2659
Cl1 Cl 0.1718 0.3435 0.7718
Cl2 Cl 0.3309 0.1655 0.1748
Cl3 Cl 0.6667 0.3333 0.8222
# E_tot = -5.7352 eV per atom
# DOS(E_F) = 4.45 states/eV per cell

# W2Se4Cl3 PBE optimized geometry
data_W2Se4Cl3
_symmetry_space_group_name_H-M 'C 1 2/c 1'
_symmetry_Int_Tables_number 15
_symmetry_space_group_name_Hall '-C 2yc'
_cell_length_a 15.018
_cell_length_b 10.554
_cell_length_c 6.226
_cell_angle_alpha 90.00
_cell_angle_beta 96.41
_cell_angle_gamma 90.00
loop_
_atom_site_label
_atom_site_type_symbol
_atom_site_fract_x
_atom_site_fract_y
_atom_site_fract_z
W1 W 0.249 0.116 0.031
Se1 Se 0.134 0.235 0.823
Se2 Se 0.170 0.091 0.349
Cl1 Cl 0.000 0.081 0.250
Cl2 Cl 0.153 0.441 0.250
# E_tot = -5.4470 eV per atom
# DOS(E_F) = 8.61 states/eV per cell

# Zr2WSe2Cl4 PBE optimized geometry
data_Zr2WSe2Cl4
_symmetry_space_group_name_H-M 'P 3 m 1'
_symmetry_Int_Tables_number 156
_symmetry_space_group_name_Hall 'P 3 -2"'
_cell_length_a 3.3801
_cell_length_b 3.3801
_cell_length_c 22.5548
_cell_angle_alpha 90.00
_cell_angle_beta 90.00
_cell_angle_gamma 120.00
loop_
_atom_site_label
_atom_site_type_symbol
_atom_site_fract_x
_atom_site_fract_y
_atom_site_fract_z
Zr1 Zr 0.0000 0.0000 0.0000
Zr2 Zr 0.3333 0.6667 0.3282
W1 W 0.3333 0.6667 0.6739
Se1 Se 0.0000 0.0000 0.6002
Se2 Se 0.0000 0.0000 0.7476
Cl1 Cl 0.0000 0.0000 0.2512
Cl2 Cl 0.0000 0.0000 0.4053
Cl3 Cl 0.3333 0.6667 0.0771
Cl4 Cl 0.3333 0.6667 0.9229
# E_tot = -6.2157 eV per atom
# DOS(E_F) = 0.29 states/eV per cell

# Zr2WSeCl PBE optimized geometry
data_Zr2WSeCl
_symmetry_space_group_name_H-M 'P 4/m m m'
_symmetry_Int_Tables_number 123
_symmetry_space_group_name_Hall '-P 4 2'
_cell_length_a 5.156
_cell_length_b 5.156
_cell_length_c 4.542
_cell_angle_alpha 90.00
_cell_angle_beta 90.00
_cell_angle_gamma 90.00
loop_
_atom_site_label
_atom_site_type_symbol
_atom_site_fract_x
_atom_site_fract_y
_atom_site_fract_z
Zr1 Zr 0.000 0.500 0.000
W1 W 0.000 0.000 0.500
Se1 Se 0.000 0.000 0.000
Cl1 Cl 0.500 0.500 0.500
# E_tot = -6.3820 eV per atom
# DOS(E_F) = 4.43 states/eV per cell

# YSe6Cl12 PBE optimized geometry
data_YSe6Cl12
_symmetry_space_group_name_H-M 'R -3'
_symmetry_Int_Tables_number 148
_symmetry_space_group_name_Hall '-R 3'
_cell_length_a 7.9709
_cell_length_b 7.9709
_cell_length_c 36.4165
_cell_angle_alpha 90.00
_cell_angle_beta 90.00
_cell_angle_gamma 120.00
loop_
_atom_site_label
_atom_site_type_symbol
_atom_site_fract_x
_atom_site_fract_y
_atom_site_fract_z
Y1 Y 0.0000 0.0000 0.0000
Se1 Se 0.0654 0.8584 0.7477
Cl1 Cl 0.0085 0.3678 0.8677
Cl2 Cl 0.0327 0.4356 0.7086
# E_tot = -3.1547 eV per atom
# DOS(E_F) = 31.13 states/eV per cell

# Y2SeCl PBE optimized geometry
data_Y2SeCl
_symmetry_space_group_name_H-M 'F -4 3 m'
_symmetry_Int_Tables_number 216
_symmetry_space_group_name_Hall 'F -4 2 3'
_cell_length_a 7.416
_cell_length_b 7.416
_cell_length_c 7.416
_cell_angle_alpha 90.00
_cell_angle_beta 90.00
_cell_angle_gamma 90.00
loop_
_atom_site_label
_atom_site_type_symbol
_atom_site_fract_x
_atom_site_fract_y
_atom_site_fract_z
Y1 Y 0.000 0.000 0.000
Y2 Y 0.250 0.250 0.250
Se1 Se 0.250 0.250 0.750
Cl1 Cl 0.000 0.000 0.500
# E_tot = -4.9599 eV per atom
# energy above the most stable polymorph in this dataset = 1087 meV/atom
# DOS(E_F) = 15.31 states/eV per cell

# Y2SeCl PBE optimized geometry
data_Y2SeCl
_symmetry_space_group_name_H-M 'I m m 2'
_symmetry_Int_Tables_number 44
_symmetry_space_group_name_Hall 'I 2 -2'
_cell_length_a 3.812
_cell_length_b 3.826
_cell_length_c 13.000
_cell_angle_alpha 90.00
_cell_angle_beta 90.00
_cell_angle_gamma 90.00
loop_
_atom_site_label
_atom_site_type_symbol
_atom_site_fract_x
_atom_site_fract_y
_atom_site_fract_z
Y1 Y 0.000 0.000 0.000
Y2 Y 0.000 0.500 0.245
Se1 Se 0.000 0.500 0.664
Cl1 Cl 0.000 0.000 0.415
# E_tot = -6.0107 eV per atom
# energy above the most stable polymorph in this dataset = 36 meV/atom
# DOS(E_F) = 4.68 states/eV per cell

# Y2SeCl PBE optimized geometry
data_Y2SeCl
_symmetry_space_group_name_H-M 'F m -3 m'
_symmetry_Int_Tables_number 225
_symmetry_space_group_name_Hall '-F 4 2 3'
_cell_length_a 7.020
_cell_length_b 7.020
_cell_length_c 7.020
_cell_angle_alpha 90.00
_cell_angle_beta 90.00
_cell_angle_gamma 90.00
loop_
_atom_site_label
_atom_site_type_symbol
_atom_site_fract_x
_atom_site_fract_y
_atom_site_fract_z
Y1 Y 0.250 0.250 0.250
Se1 Se 0.000 0.000 0.000
Cl1 Cl 0.000 0.000 0.500
# E_tot = -5.8764 eV per atom
# energy above the most stable polymorph in this dataset = 170 meV/atom
# DOS(E_F) = 10.22 states/eV per cell

# Y2SeCl PBE optimized geometry
data_Y2SeCl
_symmetry_space_group_name_H-M 'I m m m'
_symmetry_Int_Tables_number 71
_symmetry_space_group_name_Hall '-I 2 2'
_cell_length_a 3.700
_cell_length_b 6.600
_cell_length_c 8.595
_cell_angle_alpha 90.00
_cell_angle_beta 90.00
_cell_angle_gamma 90.00
loop_
_atom_site_label
_atom_site_type_symbol
_atom_site_fract_x
_atom_site_fract_y
_atom_site_fract_z
Y1 Y 0.000 0.000 0.247
Se1 Se 0.000 0.500 0.500
Cl1 Cl 0.000 0.500 0.000
# E_tot = -5.8360 eV per atom
# energy above the most stable polymorph in this dataset = 211 meV/atom
# DOS(E_F) = 5.21 states/eV per cell

# Y2SeCl PBE optimized geometry
data_Y2SeCl
_symmetry_space_group_name_H-M 'P 1 2/m 1'
_symmetry_Int_Tables_number 10
_symmetry_space_group_name_Hall '-P 2y'
_cell_length_a 3.773
_cell_length_b 4.297
_cell_length_c 6.412
_cell_angle_alpha 90.00
_cell_angle_beta 91.12
_cell_angle_gamma 90.00
loop_
_atom_site_label
_atom_site_type_symbol
_atom_site_fract_x
_atom_site_fract_y
_atom_site_fract_z
Y1 Y 0.216 0.000 0.256
Se1 Se 0.500 0.500 0.500
Cl1 Cl 0.000 0.500 0.000
# E_tot = -5.8432 eV per atom
# energy above the most stable polymorph in this dataset = 203 meV/atom
# DOS(E_F) = 2.15 states/eV per cell

# YSeCl2 PBE optimized geometry
data_YSeCl2
_symmetry_space_group_name_H-M 'F -4 3 m'
_symmetry_Int_Tables_number 216
_symmetry_space_group_name_Hall 'F -4 2 3'
_cell_length_a 7.073
_cell_length_b 7.073
_cell_length_c 7.073
_cell_angle_alpha 90.00
_cell_angle_beta 90.00
_cell_angle_gamma 90.00
loop_
_atom_site_label
_atom_site_type_symbol
_atom_site_fract_x
_atom_site_fract_y
_atom_site_fract_z
Y1 Y 0.000 0.000 0.000
Se1 Se 0.250 0.250 0.750
Cl1 Cl 0.000 0.000 0.500
Cl2 Cl 0.250 0.250 0.250
# E_tot = -4.5462 eV per atom
# energy above the most stable polymorph in this dataset = 462 meV/atom
# DOS(E_F) = 20.51 states/eV per cell

ΔE_f (raw) / meV per atom: -721, -711, -404, -1282, 694, -548, -395, -1446, -1312, -1271, -1278, -1136